[1]
Ti2Ge2Sb: optimized geometry, PBE-GGA.

Cell: 7.223 7.223 3.515 Å, 90.00 90.00 90.00°
Sites, in units of the cell vectors:
Ti1 0.171 0.329 0.000
Ti2 0.329 0.829 0.000
Ti3 0.671 0.171 0.000
Ti4 0.829 0.671 0.000
Ge1 0.126 0.626 0.500
Ge2 0.374 0.126 0.500
Ge3 0.626 0.874 0.500
Ge4 0.874 0.374 0.500
Sb1 0.000 0.000 0.500
Sb2 0.500 0.500 0.500

- Crystal system: tetragonal
- Raw total energy: -5.987 eV/atom
- V: 91.69 Å³/f.u.
- ΔE to the lowest computed polymorph: 217 meV/atom
- E_form (uncorrected): -157 meV/atom

=====

[2]
RbCaY2As: optimized geometry, PBE-GGA.

Cell: 5.675 5.675 5.976 Å, 90.00 90.00 90.00°
Sites, in units of the cell vectors:
Rb1 0.000 0.000 0.000
Ca1 0.500 0.500 0.000
Y1 0.000 0.500 0.500
Y2 0.500 0.000 0.500
As1 0.500 0.500 0.500

- Crystal system: tetragonal
- E_form: -0.7 eV per formula unit
- Raw total energy: -4.244 eV/atom
- V: 192.47 Å³/f.u.

=====

[3]
Tb2TmCo: optimized geometry, PBE-GGA.

Cell: 6.179 6.179 9.344 Å, 90.00 90.00 145.27°
Sites, in units of the cell vectors:
Tb1 0.139 0.861 0.572
Tb2 0.139 0.861 0.928
Tb3 0.861 0.139 0.072
Tb4 0.861 0.139 0.428
Tm1 0.414 0.586 0.750
Tm2 0.586 0.414 0.250
Co1 0.254 0.746 0.250
Co2 0.746 0.254 0.750

- Crystal system: orthorhombic
- E_form: -0.5 eV per formula unit
- Raw total energy: -5.346 eV/atom
- V: 101.65 Å³/f.u.
- ΔE to the lowest computed polymorph: 26 meV/atom

=====

[4]
LiPd2Br8: optimized geometry, PBE-GGA.

Cell: 7.425 7.425 7.105 Å, 104.79 104.79 79.25°
Sites, in units of the cell vectors:
Li1 0.000 0.000 0.000
Pd1 0.183 0.183 0.632
Pd2 0.817 0.817 0.368
Br1 0.076 0.728 0.197
Br2 0.239 0.239 0.333
Br3 0.272 0.924 0.803
Br4 0.412 0.412 0.820
Br5 0.588 0.588 0.180
Br6 0.728 0.076 0.197
Br7 0.761 0.761 0.667
Br8 0.924 0.272 0.803

- Crystal system: monoclinic
- Raw total energy: -2.568 eV/atom
- V: 363.05 Å³/f.u.
- E_form (uncorrected): -233 meV/atom

=====

[5]
K3Ga2Pt2: optimized geometry, PBE-GGA.

Cell: 6.745 8.517 13.737 Å, 90.00 90.00 90.00°
Sites, in units of the cell vectors:
K1 0.118 0.118 0.100
K2 0.118 0.118 0.400
K3 0.118 0.382 0.600
K4 0.118 0.382 0.900
K5 0.317 0.694 0.750
K6 0.317 0.806 0.250
K7 0.683 0.194 0.750
K8 0.683 0.306 0.250
K9 0.882 0.618 0.100
K10 0.882 0.618 0.400
K11 0.882 0.882 0.600
K12 0.882 0.882 0.900
Ga1 0.254 0.058 0.750
Ga2 0.254 0.442 0.250
Ga3 0.447 0.750 0.000
Ga4 0.447 0.750 0.500
Ga5 0.553 0.250 0.000
Ga6 0.553 0.250 0.500
Ga7 0.746 0.558 0.750
Ga8 0.746 0.942 0.250
Pt1 0.383 0.014 0.586
Pt2 0.383 0.014 0.914
Pt3 0.383 0.486 0.086
Pt4 0.383 0.486 0.414
Pt5 0.617 0.514 0.586
Pt6 0.617 0.514 0.914
Pt7 0.617 0.986 0.086
Pt8 0.617 0.986 0.414

- Crystal system: orthorhombic
- E_form: -2.3 eV per formula unit
- Raw total energy: -3.390 eV/atom
- V: 197.28 Å³/f.u.

=====

[6]
Li3Fe: optimized geometry, PBE-GGA.

Cell: 5.593 5.593 9.078 Å, 90.00 90.00 120.00°
Sites, in units of the cell vectors:
Li1 0.000 0.500 0.000
Li2 0.000 0.500 0.500
Li3 0.160 0.320 0.250
Li4 0.160 0.840 0.250
Li5 0.320 0.160 0.750
Li6 0.500 0.000 0.000
Li7 0.500 0.000 0.500
Li8 0.500 0.500 0.000
Li9 0.500 0.500 0.500
Li10 0.680 0.840 0.250
Li11 0.840 0.160 0.750
Li12 0.840 0.680 0.750
Fe1 0.000 0.000 0.000
Fe2 0.000 0.000 0.500
Fe3 0.333 0.667 0.750
Fe4 0.667 0.333 0.250

- Crystal system: hexagonal
- E_form: 1.7 eV per formula unit
- Raw total energy: -3.138 eV/atom
- V: 61.49 Å³/f.u.

=====

[7]
K2SnN2: optimized geometry, PBE-GGA.

Cell: 3.466 3.466 10.659 Å, 90.00 90.00 120.00°
Sites, in units of the cell vectors:
K1 0.333 0.667 0.229
K2 0.667 0.333 0.771
Sn1 0.000 0.000 0.500
N1 0.333 0.667 0.607
N2 0.667 0.333 0.393

- Crystal system: trigonal
- Raw total energy: -4.261 eV/atom
- V: 110.87 Å³/f.u.
- E_form (uncorrected): 309 meV/atom

=====

[8]
Sc6GaP2: optimized geometry, PBE-GGA.

Cell: 7.767 7.767 7.767 Å, 113.66 113.32 101.71°
Sites, in units of the cell vectors:
Sc1 0.051 0.247 0.804
Sc2 0.178 0.289 0.467
Sc3 0.178 0.711 0.888
Sc4 0.337 0.035 0.698
Sc5 0.337 0.639 0.302
Sc6 0.444 0.247 0.196
Sc7 0.556 0.753 0.804
Sc8 0.663 0.361 0.698
Sc9 0.663 0.965 0.302
Sc10 0.822 0.289 0.112
Sc11 0.822 0.711 0.533
Sc12 0.949 0.753 0.196
Ga1 0.000 0.000 0.000
Ga2 0.500 0.500 0.000
P1 0.142 0.642 0.500
P2 0.322 0.000 0.322
P3 0.678 0.000 0.678
P4 0.858 0.358 0.500

- Crystal system: orthorhombic
- E_form: -7.5 eV per formula unit
- Raw total energy: -6.592 eV/atom
- V: 177.90 Å³/f.u.

=====

[9]
Ce8SbIr2: optimized geometry, PBE-GGA.

Cell: 7.961 7.961 5.250 Å, 96.90 96.90 116.29°
Sites, in units of the cell vectors:
Ce1 0.094 0.094 0.816
Ce2 0.211 0.428 0.439
Ce3 0.249 0.751 0.000
Ce4 0.428 0.211 0.439
Ce5 0.572 0.789 0.561
Ce6 0.751 0.249 0.000
Ce7 0.789 0.572 0.561
Ce8 0.906 0.906 0.184
Sb1 0.500 0.500 0.000
Ir1 0.192 0.808 0.500
Ir2 0.808 0.192 0.500

- Crystal system: monoclinic
- Raw total energy: -6.726 eV/atom
- V: 290.51 Å³/f.u.
- E_form (uncorrected): -425 meV/atom

=====

[10]
Ti6CuPd2: optimized geometry, PBE-GGA.

Cell: 7.446 7.446 7.446 Å, 146.73 131.84 59.80°
Sites, in units of the cell vectors:
Ti1 0.083 0.337 0.746
Ti2 0.243 0.000 0.243
Ti3 0.409 0.663 0.746
Ti4 0.591 0.337 0.254
Ti5 0.757 0.000 0.757
Ti6 0.917 0.663 0.254
Cu1 0.000 0.500 0.500
Pd1 0.333 0.833 0.500
Pd2 0.667 0.167 0.500

- Crystal system: orthorhombic
- E_form: 1.2 eV per formula unit
- Raw total energy: -6.735 eV/atom
- V: 167.22 Å³/f.u.

=====

[11]
As2PdPtW: optimized geometry, PBE-GGA.

Cell: 4.792 4.792 4.929 Å, 90.00 90.00 90.00°
Sites, in units of the cell vectors:
As1 0.000 0.500 0.000
As2 0.500 0.000 0.000
Pd1 0.000 0.000 0.500
Pt1 0.500 0.500 0.500
W1 0.500 0.500 0.000

- Crystal system: tetragonal
- E_form: 4.1 eV per formula unit
- Raw total energy: -5.873 eV/atom
- V: 113.16 Å³/f.u.

=====

[12]
ScSb2Rh: optimized geometry, PBE-GGA.

Cell: 5.389 5.389 4.839 Å, 103.08 103.08 37.84°
Sites, in units of the cell vectors:
Sc1 0.000 0.000 0.000
Sb1 0.265 0.265 0.908
Sb2 0.508 0.508 0.506
Rh1 0.791 0.791 0.378

- Crystal system: monoclinic
- Raw total energy: -5.986 eV/atom
- V: 83.71 Å³/f.u.
- E_form (uncorrected): -504 meV/atom